The following is a PBE calculation of RbNaThI6 after structural relaxation, from Alexandria.

Cell: 8.2413 8.2413 16.0233 Å, 90.00 90.00 120.00°
Space group P-31c (No. 163)
Inequivalent atoms, fractional coordinates:
Rb 0.0000 0.0000 0.0000
Na 0.3333 0.6667 0.2500
Th 0.3333 0.6667 0.7500
I 0.0166 0.3759 0.6378

## Properties
The calculation puts the calculated total energy at -0.126 hartree per atom. The uncorrected formation energy comes out at -1310 meV/atom. The density of states at the Fermi level is 0.00 states/eV/atom.

***

The following is a PBE calculation of RbNa2ThI8 after structural relaxation, from Alexandria.

Cell: 14.309 8.120 10.628 Å, 90.00 93.12 90.00°
Space group C2/m (No. 12)
Inequivalent atoms, fractional coordinates:
Rb 0.000 0.000 0.000
Na 0.172 0.500 0.712
Th 0.000 0.000 0.500
I 0.008 0.259 0.290
I 0.215 0.000 0.533
I 0.243 0.500 0.992

## Properties
The calculation puts the calculated total energy at -0.112 hartree per atom. The uncorrected formation energy comes out at -1095 meV/atom. The density of states at the Fermi level is 0.53 states/eV/atom.

***

The following is a PBE calculation of RbNaTiI6 after structural relaxation, from Alexandria.

Cell: 7.9502 7.9502 7.7614 Å, 90.00 90.00 120.00°
Space group P312 (No. 149)
Inequivalent atoms, fractional coordinates:
Rb 0.0000 0.0000 0.0000
Na 0.3333 0.6667 0.5000
Ti 0.6667 0.3333 0.5000
I 0.3930 0.0411 0.7091

## Properties
The calculation puts the calculated total energy at -0.115 hartree per atom. The uncorrected formation energy comes out at -971 meV/atom.